Entry from Alexandria: a geometry-optimized Pr6SiAs2S3 structure (PBE).

Structure (POSCAR):
```
Pr6SiAs2S3
1.0
9.192 -2.115 0.000
9.192 2.115 0.000
-1.884 0.000 8.209
Pr Si As S
6 1 2 3
Direct
0.001 0.001 0.253 Pr
0.334 0.334 0.916 Pr
0.335 0.335 0.419 Pr
0.665 0.665 0.581 Pr
0.666 0.666 0.084 Pr
0.999 0.999 0.747 Pr
0.500 0.500 0.500 Si
0.167 0.167 0.834 As
0.833 0.833 0.166 As
0.167 0.167 0.332 S
0.500 0.500 0.000 S
0.833 0.833 0.668 S
```

***

Entry from Alexandria: a geometry-optimized Pr6SnAs2S3 structure (PBE).

Structure (POSCAR):
```
Pr6SnAs2S3
1.0
9.279 -2.131 0.000
9.279 2.131 0.000
-1.888 0.000 8.306
Pr Sn As S
6 1 2 3
Direct
0.000 0.000 0.236 Pr
0.000 0.000 0.764 Pr
0.329 0.329 0.414 Pr
0.333 0.333 0.917 Pr
0.667 0.667 0.083 Pr
0.671 0.671 0.586 Pr
0.500 0.500 0.500 Sn
0.167 0.167 0.834 As
0.833 0.833 0.166 As
0.166 0.166 0.332 S
0.500 0.500 0.000 S
0.834 0.834 0.668 S
```

***

Entry from Alexandria: a geometry-optimized Pr6SnAs3S2 structure (PBE).

Structure (POSCAR):
```
Pr6SnAs3S2
1.0
9.356 -2.139 0.000
9.356 2.139 0.000
-1.957 0.000 8.395
Pr Sn As S
6 1 3 2
Direct
0.002 0.002 0.263 Pr
0.329 0.329 0.914 Pr
0.333 0.333 0.416 Pr
0.667 0.667 0.584 Pr
0.671 0.671 0.086 Pr
0.998 0.998 0.737 Pr
0.500 0.500 0.000 Sn
0.166 0.166 0.831 As
0.500 0.500 0.500 As
0.834 0.834 0.169 As
0.170 0.170 0.339 S
0.830 0.830 0.661 S
```

***

Entry from Alexandria: a geometry-optimized Pr4TeAsS2 structure (PBE).

Structure (POSCAR):
```
Pr4TeAsS2
1.0
7.380 0.000 0.000
0.000 4.231 0.000
-2.424 0.000 7.051
Pr Te As S
4 1 1 2
Direct
0.223 0.000 0.223 Pr
0.238 0.500 0.762 Pr
0.762 0.500 0.238 Pr
0.777 0.000 0.777 Pr
0.500 0.500 0.500 Te
0.500 0.000 0.000 As
0.000 0.000 0.500 S
0.000 0.500 0.000 S
```

***

Entry from Alexandria: a geometry-optimized Pr4TeAs2S structure (PBE).

Structure (POSCAR):
```
Pr4TeAs2S
1.0
7.490 0.000 0.000
0.000 4.310 0.000
-2.484 0.000 7.100
Pr Te As S
4 1 2 1
Direct
0.232 0.000 0.232 Pr
0.243 0.500 0.760 Pr
0.757 0.500 0.240 Pr
0.768 0.000 0.768 Pr
0.500 0.500 0.500 Te
0.000 0.500 0.000 As
0.500 0.000 0.000 As
0.000 0.000 0.500 S
```

***

Entry from Alexandria: a geometry-optimized Pr6Te3As2S structure (PBE).

Structure (POSCAR):
```
Pr6Te3As2S
1.0
9.668 -2.168 0.000
9.668 2.168 0.000
-2.385 0.000 8.569
Pr Te As S
6 3 2 1
Direct
0.006 0.006 0.225 Pr
0.327 0.327 0.433 Pr
0.344 0.344 0.903 Pr
0.656 0.656 0.097 Pr
0.673 0.673 0.567 Pr
0.994 0.994 0.775 Pr
0.168 0.168 0.834 Te
0.500 0.500 0.500 Te
0.832 0.832 0.166 Te
0.166 0.166 0.332 As
0.834 0.834 0.668 As
0.500 0.500 0.000 S
```

***

Entry from Alexandria: a geometry-optimized Pr8Te3As3S structure (PBE).

Structure (POSCAR):
```
Pr8Te3As3S
1.0
4.318 2.493 7.333
-4.318 2.493 7.333
0.000 -4.986 7.333
Pr Te As S
8 3 3 1
Direct
0.240 0.240 0.240 Pr
0.245 0.737 0.737 Pr
0.263 0.263 0.755 Pr
0.263 0.755 0.263 Pr
0.737 0.245 0.737 Pr
0.737 0.737 0.245 Pr
0.755 0.263 0.263 Pr
0.760 0.760 0.760 Pr
0.000 0.500 0.500 Te
0.500 0.000 0.500 Te
0.500 0.500 0.000 Te
0.000 0.000 0.500 As
0.000 0.500 0.000 As
0.500 0.000 0.000 As
0.500 0.500 0.500 S
```

***

Entry from Alexandria: a geometry-optimized Pr3TeAsS structure (PBE).

Structure (POSCAR):
```
Pr3TeAsS
1.0
8.748 0.000 0.000
0.000 4.453 0.000
-1.826 0.000 9.684
Pr Te As S
6 2 2 2
Direct
0.076 0.250 0.351 Pr
0.266 0.250 0.979 Pr
0.387 0.750 0.628 Pr
0.613 0.250 0.372 Pr
0.734 0.750 0.021 Pr
0.924 0.750 0.649 Pr
0.324 0.750 0.283 Te
0.676 0.250 0.717 Te
0.157 0.250 0.655 As
0.843 0.750 0.345 As
0.407 0.750 0.907 S
0.593 0.250 0.093 S
```

***

| no. | uncorrected formation energy (eV per atom) |
| --- | --- |
| 1 | -1.650 |
| 2 | -1.623 |
| 3 | -1.538 |
| 4 | -1.750 |
| 5 | -1.631 |
| 6 | -1.609 |
| 7 | -1.451 |
| 8 | -1.413 |